[1]
A plane-wave DFT calculation with PBE-GGA was carried out for a relaxed structure of Sm4Ni3Sb8.

Calculated values
Formation energy without anion corrections   -71.6 kJ/mol of atoms
D(E_F)   0.6882 states/eV per atom
SG   P-4m2 (115)

Cell lengths 4.386, 4.386, 19.126 Å; angles 90.00, 90.00, 90.00 degrees
Fractional coordinates of all 15 atoms:
1 Sm 0.000 0.500 0.117
2 Sm 0.000 0.500 0.621
3 Sm 0.500 0.000 0.379
4 Sm 0.500 0.000 0.883
5 Ni 0.000 0.000 0.000
6 Ni 0.000 0.000 0.500
7 Ni 0.500 0.500 0.500
8 Sb 0.000 0.000 0.248
9 Sb 0.000 0.000 0.752
10 Sb 0.000 0.500 0.431
11 Sb 0.000 0.500 0.937
12 Sb 0.500 0.000 0.063
13 Sb 0.500 0.000 0.569
14 Sb 0.500 0.500 0.248
15 Sb 0.500 0.500 0.752

[2]
A plane-wave DFT calculation with PBE-GGA was carried out for a relaxed structure of SmNiSb2.

Calculated values
Formation energy without anion corrections   -4.5 kJ/mol of atoms
D(E_F)   1.0053 states/eV per atom
SG   R-3m (166)

Cell lengths 9.816, 9.816, 9.816 Å; angles 20.62, 20.62, 20.62 degrees
Fractional coordinates of all 4 atoms:
1 Sm 0.000 0.000 0.000
2 Ni 0.500 0.500 0.500
3 Sb 0.110 0.110 0.110
4 Sb 0.890 0.890 0.890

[3]
A plane-wave DFT calculation with PBE-GGA was carried out for a relaxed structure of Sm3Ni3Sb4.

Calculated values
Formation energy without anion corrections   -77.8 kJ/mol of atoms
D(E_F)   0.8295 states/eV per atom
SG   I-43d (220)

Cell lengths 8.312, 8.312, 8.312 Å; angles 109.47, 109.47, 109.47 degrees
Fractional coordinates of all 20 atoms:
1 Sm 0.125 0.750 0.875
2 Sm 0.250 0.625 0.375
3 Sm 0.375 0.250 0.625
4 Sm 0.625 0.375 0.250
5 Sm 0.750 0.875 0.125
6 Sm 0.875 0.125 0.750
7 Ni 0.125 0.875 0.250
8 Ni 0.250 0.125 0.875
9 Ni 0.375 0.625 0.750
10 Ni 0.625 0.750 0.375
11 Ni 0.750 0.375 0.625
12 Ni 0.875 0.250 0.125
13 Sb 0.000 0.353 0.500
14 Sb 0.000 0.853 0.500
15 Sb 0.147 0.147 0.147
16 Sb 0.353 0.500 0.000
17 Sb 0.500 0.000 0.353
18 Sb 0.500 0.000 0.853
19 Sb 0.647 0.647 0.647
20 Sb 0.853 0.500 0.000